DFT (PBE-GGA) results for an optimized crystal structure of KNbZn.

## Properties
ΔE_f, eV/atom: 0.535
Relative energy among the computed polymorphs, eV/atom: 0.305
Crystal system: triclinic

Lattice parameters (Å, degrees): 4.610 5.578 6.784 77.72 89.62 86.56
Space group P-1 (No. 2)
One atom of each set of equivalent atoms:
1 K 0.250 0.236 0.060
2 Nb 0.284 0.600 0.504
3 Zn 0.241 0.097 0.553



DFT (PBE-GGA) results for an optimized crystal structure of KNbZn2.

## Properties
ΔE_f, eV/atom: 0.822
Relative energy among the computed polymorphs, eV/atom: 0.000
Crystal system: cubic

Lattice parameters (Å, degrees): 7.014 7.014 7.014 90.00 90.00 90.00
Space group Fm-3m (No. 225)
One atom of each set of equivalent atoms:
1 K 0.000 0.000 0.000
2 Nb 0.000 0.000 0.500
3 Zn 0.250 0.250 0.250



DFT (PBE-GGA) results for an optimized crystal structure of KNbZn.

## Properties
ΔE_f, eV/atom: 0.302
Relative energy among the computed polymorphs, eV/atom: 0.072
Crystal system: monoclinic

Lattice parameters (Å, degrees): 7.764 4.484 11.755 90.00 101.92 90.00
Space group C2/m (No. 12)
One atom of each set of equivalent atoms:
1 K 0.234 0.000 0.183
2 Nb 0.166 0.500 0.499
3 Zn 0.035 0.000 0.612



Result set for calculated volume: 28.4 21.6 33.4 Å³ per atom, one per record in the order listed.
Result set for VASP energy: -3.612 -2.607 -3.845 eV/atom, one per record in the order listed.